## TaInGa3 (PBE)

Data for a relaxed structure of TaInGa3.

abc: 5.1265 5.1265 5.1265
angles: 90.00 90.00 90.00
With the nearest neighbours (Å) after each atom.
Element x y z (fractional)
In 0.5000 0.5000 0.5000  12 Ga 3.62
Ga 0.0000 0.5000 0.0000  2 Ta 2.56
Ga 0.0000 0.0000 0.5000  2 Ta 2.56
Ga 0.5000 0.0000 0.0000  2 Ta 2.56
Ta 0.0000 0.0000 0.0000  6 Ga 2.56

Properties
Volume in Å³ per atom: 26.95
ΔE_f in meV/atom: 477
DFT total energy in eV/atom: -4.26
Space group: No. 221
DOS(E_F) in states/eV per cell: 4.13